A plane-wave DFT calculation with PBE with a Hubbard U was carried out for an optimized crystal structure of Sr3NiO.

Results
Energy ... -0.232 Ry per atom
Total magnetic moment ... 0.00 μB/cell

a b c (Å): 5.0826 5.0826 5.0826
angles (deg): 90.00 90.00 90.00
With the nearest neighbours (Å) after each atom.
Space group Pm-3m (No. 221)
Unique sites:
1 Sr 0.0000 0.0000 0.5000 x3  2 O 2.54
2 Ni 0.5000 0.5000 0.5000 x1  12 Sr 3.59
3 O 0.0000 0.0000 0.0000 x1  6 Sr 2.54